No. 1
DFT (PBE) results for a relaxed La2Tb5Pm12 crystal.

Computed properties:
**Symmetry**: No. 12
**N(E_F)**: 26.319 states/eV/cell
**Energy relative to the lowest polymorph listed for this composition**: 1.1 kJ per mole of atoms
**Energy of formation**: 0.1310 eV per atom
**Size of the total moment**: 0.00 Bohr magnetons per cell

Unit cell a=9.2260 b=9.2260 c=8.8208 alpha=91.81 beta=91.81 gamma=61.08
Closest atoms and distances in Å follow each position.
Element x y z (fractional)
La (0.1697, 0.8303, 0.0000)  1 La 3.18, 6 Pm 3.44-3.53
La (0.8303, 0.1697, 0.0000)  1 La 3.18, 6 Pm 3.44-3.53
Tb (0.2093, 0.2093, 0.0332)  8 Pm 3.49-3.82, 1 Tb 3.60, 2 La 3.69
Tb (0.2688, 0.2688, 0.4315)  8 Pm 3.36-3.75, 2 Tb 3.60-3.70
Tb (0.5000, 0.5000, 0.5000)  10 Pm 3.49-3.82, 2 Tb 3.70
Tb (0.7312, 0.7312, 0.5685)  8 Pm 3.36-3.75, 2 Tb 3.60-3.70
Tb (0.7907, 0.7907, 0.9668)  8 Pm 3.49-3.82, 1 Tb 3.60, 2 La 3.69
Pm (0.0614, 0.0614, 0.3441)  2 Tb 3.36-3.68, 7 Pm 3.43-3.58, 2 La 3.53
Pm (0.0652, 0.6749, 0.3244)  4 Tb 3.43-3.82, 5 Pm 3.50-3.66, 1 La 3.60
Pm (0.1699, 0.5291, 0.7594)  3 Pm 3.37-3.54, 1 La 3.44, 4 Tb 3.55-3.77
Pm (0.3251, 0.9348, 0.6756)  4 Tb 3.43-3.82, 5 Pm 3.50-3.66, 1 La 3.60
Pm (0.4252, 0.4252, 0.1226)  3 Pm 3.27-3.50, 2 Tb 3.49, 2 La 3.50
Pm (0.4709, 0.8301, 0.2406)  3 Pm 3.37-3.54, 1 La 3.44, 4 Tb 3.55-3.77
Pm (0.5291, 0.1699, 0.7594)  3 Pm 3.37-3.54, 1 La 3.44, 4 Tb 3.55-3.77
Pm (0.5748, 0.5748, 0.8774)  3 Pm 3.27-3.50, 2 Tb 3.49, 2 La 3.50
Pm (0.6749, 0.0652, 0.3244)  4 Tb 3.43-3.82, 5 Pm 3.50-3.66, 1 La 3.60
Pm (0.8301, 0.4709, 0.2406)  3 Pm 3.37-3.54, 1 La 3.44, 4 Tb 3.55-3.77
Pm (0.9348, 0.3251, 0.6756)  4 Tb 3.43-3.82, 5 Pm 3.50-3.66, 1 La 3.60
Pm (0.9386, 0.9386, 0.6559)  2 Tb 3.36-3.68, 7 Pm 3.43-3.58, 2 La 3.53



No. 2
DFT (PBE) results for a relaxed La8TbPm6 crystal.

Computed properties:
**Symmetry**: No. 148
**N(E_F)**: 24.819 states/eV/cell
**Energy relative to the lowest polymorph listed for this composition**: 0.0 kJ per mole of atoms
**Energy of formation**: 0.0215 eV per atom
**Size of the total moment**: 0.00 Bohr magnetons per cell

Unit cell a=15.5293 b=15.5293 c=15.5293 alpha=23.80 beta=23.80 gamma=23.80
Closest atoms and distances in Å follow each position.
Element x y z (fractional)
La (0.0339, 0.3676, 0.7013)  3 Pm 3.69-3.70, 9 La 3.70-3.77
La (0.1667, 0.1667, 0.1667)  6 Pm 3.66, 3 Tb 3.70, 3 La 3.70
La (0.2987, 0.9661, 0.6324)  3 Pm 3.69-3.70, 9 La 3.70-3.77
La (0.3676, 0.7013, 0.0339)  3 Pm 3.69-3.70, 9 La 3.70-3.77
La (0.6324, 0.2987, 0.9661)  3 Pm 3.69-3.70, 9 La 3.70-3.77
La (0.7013, 0.0339, 0.3676)  3 Pm 3.69-3.70, 9 La 3.70-3.77
La (0.8333, 0.8333, 0.8333)  6 Pm 3.66, 3 Tb 3.70, 3 La 3.70
La (0.9661, 0.6324, 0.2987)  3 Pm 3.69-3.70, 9 La 3.70-3.77
Tb (0.5000, 0.5000, 0.5000)  6 Pm 3.66, 6 La 3.70
Pm (0.1023, 0.7662, 0.4344)  1 Tb 3.66, 5 La 3.66-3.70, 6 Pm 3.68-3.71
Pm (0.2338, 0.5656, 0.8977)  1 Tb 3.66, 5 La 3.66-3.70, 6 Pm 3.68-3.71
Pm (0.4344, 0.1023, 0.7662)  1 Tb 3.66, 5 La 3.66-3.70, 6 Pm 3.68-3.71
Pm (0.5656, 0.8977, 0.2338)  1 Tb 3.66, 5 La 3.66-3.70, 6 Pm 3.68-3.71
Pm (0.7662, 0.4344, 0.1023)  1 Tb 3.66, 5 La 3.66-3.70, 6 Pm 3.68-3.71
Pm (0.8977, 0.2338, 0.5656)  1 Tb 3.66, 5 La 3.66-3.70, 6 Pm 3.68-3.71



No. 3
DFT (PBE) results for a relaxed LaTb4Pm4 crystal.

Computed properties:
**Symmetry**: No. 139
**N(E_F)**: 13.288 states/eV/cell
**Energy of formation**: 0.0182 eV per atom
**Size of the total moment**: 0.00 Bohr magnetons per cell

Unit cell a=8.1041 b=8.1041 c=8.1041 alpha=95.72 beta=95.72 gamma=143.19
Closest atoms and distances in Å follow each position.
Element x y z (fractional)
La (0.0000, 0.0000, 0.0000)  4 Pm 3.62, 8 Tb 3.63
Tb (0.3322, 0.3322, 0.6645)  4 Tb 3.60-3.65, 6 Pm 3.61-3.62, 2 La 3.63
Tb (0.3322, 0.6678, 0.0000)  4 Tb 3.60-3.65, 6 Pm 3.61-3.62, 2 La 3.63
Tb (0.6678, 0.3322, 0.0000)  4 Tb 3.60-3.65, 6 Pm 3.61-3.62, 2 La 3.63
Tb (0.6678, 0.6678, 0.3355)  4 Tb 3.60-3.65, 6 Pm 3.61-3.62, 2 La 3.63
Pm (0.0000, 0.3329, 0.3329)  6 Tb 3.61-3.62, 1 La 3.62, 5 Pm 3.63
Pm (0.0000, 0.6671, 0.6671)  6 Tb 3.61-3.62, 1 La 3.62, 5 Pm 3.63
Pm (0.3329, 0.0000, 0.3329)  6 Tb 3.61-3.62, 1 La 3.62, 5 Pm 3.63
Pm (0.6671, 0.0000, 0.6671)  6 Tb 3.61-3.62, 1 La 3.62, 5 Pm 3.63



No. 4
DFT (PBE) results for a relaxed La4Tb5Pm2 crystal.

Computed properties:
**Symmetry**: No. 71
**N(E_F)**: 15.116 states/eV/cell
**Energy relative to the lowest polymorph listed for this composition**: 17.0 kJ per mole of atoms
**Energy of formation**: 0.2564 eV per atom
**Size of the total moment**: 0.00 Bohr magnetons per cell

Unit cell a=12.5913 b=12.5913 c=12.5913 alpha=163.81 beta=136.24 gamma=46.95
Closest atoms and distances in Å follow each position.
Element x y z (fractional)
La (0.0939, 0.0939, 0.0000)  1 Pm 3.12, 4 La 3.43
La (0.2106, 0.5000, 0.7106)  4 Tb 3.24-3.50, 6 La 3.43-3.55
La (0.7894, 0.5000, 0.2894)  4 Tb 3.24-3.50, 6 La 3.43-3.55
La (0.9061, 0.9061, 0.0000)  1 Pm 3.12, 4 La 3.43
Tb (0.1591, 0.3535, 0.8056)  1 Pm 3.41, 3 La 3.50-3.58, 3 Tb 3.55-3.65
Tb (0.4522, 0.6465, 0.8056)  1 Pm 3.41, 3 La 3.50-3.58, 3 Tb 3.55-3.65
Tb (0.5000, 0.0000, 0.5000)  4 La 3.24, 2 Tb 3.55
Tb (0.5478, 0.3535, 0.1944)  1 Pm 3.41, 3 La 3.50-3.58, 3 Tb 3.55-3.65
Tb (0.8409, 0.6465, 0.1944)  1 Pm 3.41, 3 La 3.50-3.58, 3 Tb 3.55-3.65
Pm (0.2288, 0.2288, 0.0000)  1 La 3.12, 2 Tb 3.41
Pm (0.7712, 0.7712, 0.0000)  1 La 3.12, 2 Tb 3.41



No. 5
DFT (PBE) results for a relaxed La2Tb3Pm4 crystal.

Computed properties:
**Symmetry**: No. 156
**N(E_F)**: 17.518 states/eV/cell
**Energy relative to the lowest polymorph listed for this composition**: 0.0 kJ per mole of atoms
**Energy of formation**: 0.0555 eV per atom
**Size of the total moment**: 0.00 Bohr magnetons per cell

Unit cell a=3.6465 b=3.6465 c=27.1449 alpha=90.00 beta=90.00 gamma=120.00
Closest atoms and distances in Å follow each position.
Element x y z (fractional)
La (0.0000, 0.0000, 0.0000)  6 La 3.65, 3 Tb 3.67, 3 Pm 3.75
La (0.0000, 0.0000, 0.2181)  1 Pm 3.57, 3 Tb 3.59, 6 La 3.65
Tb (0.0000, 0.0000, 0.7795)  6 Pm 3.57-3.60, 6 Tb 3.65
Tb (0.3333, 0.6667, 0.1109)  6 La 3.59-3.67, 6 Tb 3.65
Tb (0.3333, 0.6667, 0.4537)  6 Pm 3.52-3.62, 6 Tb 3.65
Pm (0.0000, 0.0000, 0.3497)  3 Tb 3.52, 1 La 3.57, 6 Pm 3.65
Pm (0.0000, 0.0000, 0.5622)  3 Tb 3.62, 9 Pm 3.65
Pm (0.3333, 0.6667, 0.6719)  3 Tb 3.60, 9 Pm 3.65
Pm (0.3333, 0.6667, 0.8858)  3 Tb 3.57, 6 Pm 3.65, 3 La 3.75



No. 6
DFT (PBE) results for a relaxed La6TbPm3 crystal.

Computed properties:
**Symmetry**: No. 36
**N(E_F)**: 27.763 states/eV/cell
**Energy relative to the lowest polymorph listed for this composition**: 0.0 kJ per mole of atoms
**Energy of formation**: 0.1144 eV per atom
**Size of the total moment**: 0.00 Bohr magnetons per cell

Unit cell a=11.2353 b=11.2353 c=6.6309 alpha=90.00 beta=90.00 gamma=121.61
Closest atoms and distances in Å follow each position.
Element x y z (fractional)
La (0.0311, 0.9689, 0.5000)  1 Tb 3.49, 4 La 3.53-3.83, 4 Pm 3.59-3.66
La (0.0702, 0.4849, 0.9840)  1 La 3.11, 1 Pm 3.39, 1 Tb 3.44
La (0.2825, 0.7175, 0.6936)  2 La 3.11, 1 Pm 3.44, 1 Tb 3.49
La (0.2872, 0.3662, 0.7985)  3 Pm 3.54-3.60, 5 La 3.56-3.83
La (0.3662, 0.2872, 0.2985)  3 Pm 3.54-3.60, 5 La 3.56-3.83
La (0.4849, 0.0702, 0.4840)  1 La 3.11, 1 Pm 3.39, 1 Tb 3.44
La (0.5151, 0.9298, 0.9840)  1 La 3.11, 1 Pm 3.39, 1 Tb 3.44
La (0.6338, 0.7128, 0.7985)  3 Pm 3.54-3.60, 5 La 3.56-3.83
La (0.7128, 0.6338, 0.2985)  3 Pm 3.54-3.60, 5 La 3.56-3.83
La (0.7175, 0.2825, 0.1936)  2 La 3.11, 1 Pm 3.44, 1 Tb 3.49
La (0.9298, 0.5151, 0.4840)  1 La 3.11, 1 Pm 3.39, 1 Tb 3.44
La (0.9689, 0.0311, 0.0000)  1 Tb 3.49, 4 La 3.53-3.83, 4 Pm 3.59-3.66
Tb (0.1874, 0.8126, 0.2494)  2 Pm 3.34, 6 La 3.44-3.65
Tb (0.8126, 0.1874, 0.7494)  2 Pm 3.34, 6 La 3.44-3.65
Pm (0.0565, 0.2946, 0.3906)  1 Tb 3.34, 6 La 3.39-3.66, 1 Pm 3.64
Pm (0.2946, 0.0565, 0.8906)  1 Tb 3.34, 6 La 3.39-3.66, 1 Pm 3.64
Pm (0.3841, 0.6159, 0.2715)  5 La 3.44-3.60, 2 Pm 3.64
Pm (0.6159, 0.3841, 0.7715)  5 La 3.44-3.60, 2 Pm 3.64
Pm (0.7054, 0.9435, 0.3906)  1 Tb 3.34, 6 La 3.39-3.66, 1 Pm 3.64
Pm (0.9435, 0.7054, 0.8906)  1 Tb 3.34, 6 La 3.39-3.66, 1 Pm 3.64



No. 7
DFT (PBE) results for a relaxed La4Tb5Pm crystal.

Computed properties:
**Symmetry**: No. 12
**N(E_F)**: 15.442 states/eV/cell
**Energy relative to the lowest polymorph listed for this composition**: 0.9 kJ per mole of atoms
**Energy of formation**: 0.1879 eV per atom
**Size of the total moment**: 0.00 Bohr magnetons per cell

Unit cell a=8.8463 b=8.8463 c=11.5069 alpha=90.23 beta=90.23 gamma=23.29
Closest atoms and distances in Å follow each position.
Element x y z (fractional)
La (0.0330, 0.0330, 0.2487)  4 Tb 3.35-3.42, 2 Pm 3.45, 2 La 3.57
La (0.3393, 0.3393, 0.2502)  4 La 3.57-3.80, 6 Tb 3.67-3.91, 1 Pm 3.99
La (0.6607, 0.6607, 0.7498)  4 La 3.57-3.80, 6 Tb 3.67-3.91, 1 Pm 3.99
La (0.9670, 0.9670, 0.7513)  4 Tb 3.35-3.42, 2 Pm 3.45, 2 La 3.57
Tb (0.1728, 0.1728, 0.0484)  2 La 3.35-3.69, 6 Tb 3.41-3.57
Tb (0.1738, 0.1738, 0.4486)  2 La 3.35-3.67, 4 Tb 3.40-3.57, 2 Pm 3.55
Tb (0.5000, 0.5000, 0.0000)  4 La 3.42, 6 Tb 3.53-3.57
Tb (0.8262, 0.8262, 0.5514)  2 La 3.35-3.67, 4 Tb 3.40-3.57, 2 Pm 3.55
Tb (0.8272, 0.8272, 0.9516)  2 La 3.35-3.69, 6 Tb 3.41-3.57
Pm (0.5000, 0.5000, 0.5000)  4 La 3.45, 4 Tb 3.55, 2 Pm 3.57



No. 8
DFT (PBE) results for a relaxed La6Tb2Pm crystal.

Computed properties:
**Symmetry**: No. 65
**N(E_F)**: 13.749 states/eV/cell
**Energy relative to the lowest polymorph listed for this composition**: 5.6 kJ per mole of atoms
**Energy of formation**: 0.1148 eV per atom
**Size of the total moment**: 0.00 Bohr magnetons per cell

Unit cell a=10.2073 b=10.2073 c=3.7031 alpha=90.00 beta=90.00 gamma=124.22
Closest atoms and distances in Å follow each position.
Element x y z (fractional)
La (0.0068, 0.3376, 0.0000)  4 La 3.29-3.51, 2 Tb 3.64
La (0.1756, 0.1756, 0.5000)  7 La 3.35-3.70, 2 Pm 3.61
La (0.3376, 0.0068, 0.0000)  4 La 3.29-3.51, 2 Tb 3.64
La (0.6624, 0.9932, 0.0000)  4 La 3.29-3.51, 2 Tb 3.64
La (0.8244, 0.8244, 0.5000)  7 La 3.35-3.70, 2 Pm 3.61
La (0.9932, 0.6624, 0.0000)  4 La 3.29-3.51, 2 Tb 3.64
Tb (0.3241, 0.6759, 0.5000)  8 La 3.64-3.78, 2 Pm 3.67, 2 Tb 3.70
Tb (0.6759, 0.3241, 0.5000)  8 La 3.64-3.78, 2 Pm 3.67, 2 Tb 3.70
Pm (0.5000, 0.5000, 0.0000)  4 La 3.61, 4 Tb 3.67, 2 Pm 3.70



No. 9
DFT (PBE) results for a relaxed LaTb10Pm4 crystal.

Computed properties:
**Symmetry**: No. 87
**N(E_F)**: 24.903 states/eV/cell
**Energy of formation**: 0.4404 eV per atom
**Size of the total moment**: 0.00 Bohr magnetons per cell

Unit cell a=8.8537 b=8.8537 c=8.8537 alpha=112.22 beta=112.22 gamma=104.10
Closest atoms and distances in Å follow each position.
Element x y z (fractional)
La (0.0000, 0.0000, 0.0000)  8 Tb 3.08
Tb (0.0469, 0.9513, 0.6592)  1 La 3.08, 2 Tb 3.13-3.16
Tb (0.0487, 0.7079, 0.0956)  1 La 3.08, 2 Tb 3.13-3.16
Tb (0.2500, 0.7500, 0.5000)  4 Tb 3.16, 4 Pm 3.48
Tb (0.2921, 0.3877, 0.3408)  1 La 3.08, 2 Tb 3.13-3.16
Tb (0.3877, 0.0469, 0.0956)  1 La 3.08, 2 Tb 3.13-3.16
Tb (0.6123, 0.9531, 0.9044)  1 La 3.08, 2 Tb 3.13-3.16
Tb (0.7079, 0.6123, 0.6592)  1 La 3.08, 2 Tb 3.13-3.16
Tb (0.7500, 0.2500, 0.5000)  4 Tb 3.16, 4 Pm 3.48
Tb (0.9513, 0.2921, 0.9044)  1 La 3.08, 2 Tb 3.13-3.16
Tb (0.9531, 0.0487, 0.3408)  1 La 3.08, 2 Tb 3.13-3.16
Pm (0.2130, 0.5528, 0.7659)  8 Tb 3.48-3.89
Pm (0.4472, 0.2130, 0.6602)  8 Tb 3.48-3.89
Pm (0.5528, 0.7870, 0.3398)  8 Tb 3.48-3.89
Pm (0.7870, 0.4472, 0.2341)  8 Tb 3.48-3.89



No. 10
DFT (PBE) results for a relaxed LaTb2Pm6 crystal.

Computed properties:
**Symmetry**: No. 187
**N(E_F)**: 14.913 states/eV/cell
**Energy relative to the lowest polymorph listed for this composition**: 3.7 kJ per mole of atoms
**Energy of formation**: 0.0555 eV per atom
**Size of the total moment**: 0.00 Bohr magnetons per cell

Unit cell a=3.6436 b=3.6436 c=27.1574 alpha=90.00 beta=90.00 gamma=120.00
Closest atoms and distances in Å follow each position.
Element x y z (fractional)
La (0.0000, 0.0000, 0.0000)  6 La 3.64, 6 Pm 3.74
Tb (0.3333, 0.6667, 0.3309)  6 Pm 3.52-3.63, 6 Tb 3.64
Tb (0.3333, 0.6667, 0.6691)  6 Pm 3.52-3.63, 6 Tb 3.64
Pm (0.0000, 0.0000, 0.2219)  9 Pm 3.61-3.64, 3 Tb 3.63
Pm (0.0000, 0.0000, 0.4346)  3 Tb 3.52, 7 Pm 3.55-3.64
Pm (0.0000, 0.0000, 0.5654)  3 Tb 3.52, 7 Pm 3.55-3.64
Pm (0.0000, 0.0000, 0.7781)  9 Pm 3.61-3.64, 3 Tb 3.63
Pm (0.3333, 0.6667, 0.1137)  9 Pm 3.61-3.64, 3 La 3.74
Pm (0.3333, 0.6667, 0.8863)  9 Pm 3.61-3.64, 3 La 3.74



Question: Which value of size of the total moment does entry 7 give?
Answer: 0.00 Bohr magnetons per cell